[1]
The following is a GGA-PBE calculation of a relaxed structure of KNiIr, from OQMD via LeMat-Bulk.

The density is 6.91 g/cm3. The calculation puts the total energy at -2.93 eV/atom. As for the space-group type: F-43m (216).

Unit cell a=4.6192 b=4.6192 c=4.6192 alpha=60.00 beta=60.00 gamma=60.00
Positions (direct):
Ir: 0.2500 0.2500 0.2500
K: 0.0000 0.0000 0.0000
Ni: 0.7500 0.7500 0.7500

[2]
The following is a GGA-PBE calculation of a relaxed structure of KIrO3, from OQMD via LeMat-Bulk.

The density is 7.69 g/cm3. The calculation puts the total energy at -5.84 eV/atom. As for the space-group type: Pnma (62).

Unit cell a=5.5747 b=5.5212 c=7.8421 alpha=90.00 beta=90.00 gamma=90.00
Last column: magnetic moment on the atom in μB.
Positions (direct):
Ir: 0.5000 0.0000 0.0000  0.41
Ir: 0.0000 0.5000 0.0000  0.42
Ir: 0.5000 0.0000 0.5000  0.40
Ir: 0.0000 0.5000 0.5000  0.40
K: 0.9994 0.0157 0.2500  0.00
K: 0.5006 0.5157 0.2500  0.00
K: 0.4994 0.4843 0.7500  0.00
K: 0.0006 0.9843 0.7500  0.00
O: 0.7221 0.2783 0.0228  0.08
O: 0.7779 0.7783 0.0228  0.10
O: 0.4561 0.0066 0.2500  0.10
O: 0.0439 0.5066 0.2500  0.11
O: 0.7221 0.2783 0.4772  0.07
O: 0.7779 0.7783 0.4772  0.09
O: 0.2221 0.2217 0.5228  0.09
O: 0.2779 0.7217 0.5228  0.07
O: 0.9561 0.4934 0.7500  0.11
O: 0.5439 0.9934 0.7500  0.09
O: 0.2221 0.2217 0.9772  0.10
O: 0.2779 0.7217 0.9772  0.08

[3]
The following is a GGA-PBE calculation of a relaxed structure of KIrO3, from OQMD via LeMat-Bulk.

The density is 5.14 g/cm3. The calculation puts the total energy at -5.84 eV/atom. As for the space-group type: R-3c (167).

Unit cell a=6.3258 b=6.3258 c=6.3258 alpha=60.39 beta=60.39 gamma=60.39
Positions (direct):
Ir: 0.2500 0.2500 0.2500
Ir: 0.7500 0.7500 0.7500
K: 0.0000 0.0000 0.0000
K: 0.5000 0.5000 0.5000
O: 0.7500 0.4721 0.0279
O: 0.5279 0.9721 0.2500
O: 0.0279 0.7500 0.4721
O: 0.9721 0.2500 0.5279
O: 0.4721 0.0279 0.7500
O: 0.2500 0.5279 0.9721

[4]
The following is a GGA-PBE calculation of a relaxed structure of KIr4O8, from OQMD via LeMat-Bulk.

The density is 9.86 g/cm3. The calculation puts the total energy at -6.69 eV/atom. As for the space-group type: I4/m (87).

Unit cell a=7.2068 b=7.2068 c=7.2068 alpha=92.81 beta=92.81 gamma=154.42
Positions (direct):
Ir: 0.3514 0.8313 0.1827
Ir: 0.8313 0.6486 0.4799
Ir: 0.1687 0.3514 0.5201
Ir: 0.6486 0.1687 0.8173
K: 0.5000 0.5000 0.0000
O: 0.8536 0.1980 0.0516
O: 0.8378 0.4519 0.2897
O: 0.1980 0.1464 0.3444
O: 0.5481 0.8378 0.3858
O: 0.4519 0.1622 0.6142
O: 0.8020 0.8536 0.6556
O: 0.1622 0.5481 0.7103
O: 0.1464 0.8020 0.9484

[5]
The following is a GGA-PBE calculation of a relaxed structure of K2IrO3, from OQMD via LeMat-Bulk.

The density is 4.30 g/cm3. The calculation puts the total energy at -5.42 eV/atom. As for the space-group type: P-1 (2).

Unit cell a=6.3016 b=6.4618 c=6.8958 alpha=89.86 beta=89.85 gamma=61.04
Last column: magnetic moment on the atom in μB.
Positions (direct):
Ir: 0.6578 0.6642 0.2488  0.55
Ir: 0.3422 0.3358 0.7512  0.55
K: 0.0000 0.0000 0.0000  0.01
K: 0.3239 0.3383 0.2542  0.00
K: 0.0000 0.0000 0.5000  0.01
K: 0.6761 0.6617 0.7458  0.00
O: 0.3597 0.9166 0.2487  0.17
O: 0.7467 0.3550 0.2488  0.19
O: 0.9068 0.7357 0.2506  -0.02
O: 0.0932 0.2643 0.7494  -0.02
O: 0.2533 0.6450 0.7512  0.19
O: 0.6403 0.0834 0.7513  0.17

[6]
The following is a GGA-PBE calculation of a relaxed structure of KIrO3, from OQMD via LeMat-Bulk.

The density is 7.66 g/cm3. The calculation puts the total energy at -5.83 eV/atom. As for the space-group type: P4mm (99).

Unit cell a=3.9175 b=3.9175 c=3.9430 alpha=90.00 beta=90.00 gamma=90.00
Last column: magnetic moment on the atom in μB.
Positions (direct):
Ir: 0.5000 0.5000 0.5743  0.59
K: 0.0000 0.0000 0.0781  0.00
O: 0.5000 0.5000 0.0774  0.15
O: 0.5000 0.0000 0.5851  0.06
O: 0.0000 0.5000 0.5851  0.24

[7]
The following is a GGA-PBE calculation of a relaxed structure of KIrO3, from OQMD via LeMat-Bulk.

The density is 5.79 g/cm3. The calculation puts the total energy at -3.15 eV/atom. As for the space-group type: Pm-3m (221).

Unit cell a=4.3099 b=4.3099 c=4.3099 alpha=90.00 beta=90.00 gamma=90.00
Last column: magnetic moment on the atom in μB.
Positions (direct):
Ir: 0.0000 0.0000 0.0000  2.42
K: 0.5000 0.5000 0.5000  0.18
O: 0.5000 0.5000 0.0000  1.14
O: 0.5000 0.0000 0.5000  1.08
O: 0.0000 0.5000 0.5000  0.68

[8]
The following is a GGA-PBE calculation of a relaxed structure of KIrO3, from OQMD via LeMat-Bulk.

The density is 5.73 g/cm3. The calculation puts the total energy at -5.73 eV/atom. As for the space-group type: Pnma (62).

Unit cell a=6.4390 b=4.8239 c=10.4179 alpha=90.00 beta=90.00 gamma=90.00
Positions (direct):
Ir: 0.0499 0.0230 0.2500
Ir: 0.4501 0.5230 0.2500
Ir: 0.5499 0.4770 0.7500
Ir: 0.9501 0.9770 0.7500
K: 0.5000 0.0000 0.0000
K: 0.0000 0.5000 0.0000
K: 0.5000 0.0000 0.5000
K: 0.0000 0.5000 0.5000
O: 0.6109 0.4871 0.1097
O: 0.8891 0.9871 0.1097
O: 0.1675 0.4097 0.2500
O: 0.3325 0.9097 0.2500
O: 0.6109 0.4871 0.3903
O: 0.8891 0.9871 0.3903
O: 0.1109 0.0129 0.6097
O: 0.3891 0.5128 0.6097
O: 0.6675 0.0903 0.7500
O: 0.8325 0.5903 0.7500
O: 0.1109 0.0129 0.8903
O: 0.3891 0.5128 0.8903

[9]
The following is a GGA-PBE calculation of a relaxed structure of KIrO3, from OQMD via LeMat-Bulk.

The density is 7.66 g/cm3. The calculation puts the total energy at -5.84 eV/atom. As for the space-group type: R-3c (167).

Unit cell a=5.5331 b=5.5331 c=5.5331 alpha=60.50 beta=60.50 gamma=60.50
Positions (direct):
Ir: 0.0000 0.0000 0.0000
Ir: 0.5000 0.5000 0.5000
K: 0.2500 0.2500 0.2500
K: 0.7500 0.7500 0.7500
O: 0.7500 0.2886 0.2114
O: 0.7114 0.7886 0.2500
O: 0.2114 0.7500 0.2886
O: 0.7886 0.2500 0.7114
O: 0.2886 0.2114 0.7500
O: 0.2500 0.7114 0.7886

[10]
The following is a GGA-PBE calculation of a relaxed structure of K4IrO4, from OQMD via LeMat-Bulk.

The density is 4.26 g/cm3. The calculation puts the total energy at -4.89 eV/atom. As for the space-group type: I4/m (87).

Unit cell a=6.1031 b=6.1031 c=6.1031 alpha=101.02 beta=101.02 gamma=128.14
Last column: magnetic moment on the atom in μB.
Positions (direct):
Ir: 0.0000 0.0000 0.0000  1.59
K: 0.4144 0.7941 0.2085  0.01
K: 0.7941 0.5856 0.3797  0.01
K: 0.2059 0.4144 0.6203  0.01
K: 0.5856 0.2059 0.7915  0.01
O: 0.9233 0.2375 0.1608  0.27
O: 0.2375 0.0767 0.3142  0.27
O: 0.7625 0.9233 0.6858  0.27
O: 0.0767 0.7625 0.8392  0.27

[11]
The following is a GGA-PBE calculation of a relaxed structure of K3IrO3, from OQMD via LeMat-Bulk.

The density is 4.15 g/cm3. The calculation puts the total energy at -3.95 eV/atom. As for the space-group type: I4cm (108).

Unit cell a=7.1982 b=7.1982 c=7.1982 alpha=111.43 beta=111.43 gamma=105.62
Last column: magnetic moment on the atom in μB.
Positions (direct):
Ir: 0.7549 0.2549 0.5000  -0.31
Ir: 0.2549 0.7549 0.5000  -0.31
K: 0.2467 0.2467 0.0000  -0.01
K: 0.7467 0.7467 0.0000  -0.01
K: 0.2717 0.7717 0.0514  0.00
K: 0.2203 0.2717 0.5000  0.00
K: 0.7717 0.7203 0.5000  0.00
K: 0.7203 0.2203 0.9486  0.00
O: 0.4967 0.4967 0.0000  -0.09
O: 0.9967 0.9967 0.0000  -0.09
O: 0.9443 0.4443 0.3729  -0.03
O: 0.4443 0.0714 0.5000  -0.04
O: 0.5714 0.9443 0.5000  -0.04
O: 0.0714 0.5714 0.6271  -0.03

[12]
The following is a GGA-PBE calculation of a relaxed structure of KIrO3, from OQMD via LeMat-Bulk.

The density is 6.59 g/cm3. The calculation puts the total energy at -6.05 eV/atom. As for the space-group type: Pn-3 (201).

Unit cell a=9.4515 b=9.4515 c=9.4515 alpha=90.00 beta=90.00 gamma=90.00
Positions (direct):
Ir: 0.5000 0.1579 0.0000
Ir: 0.3421 0.5000 0.0000
Ir: 0.6579 0.5000 0.0000
Ir: 0.5000 0.8421 0.0000
Ir: 0.0000 0.5000 0.1579
Ir: 0.5000 0.0000 0.3421
Ir: 0.1579 0.0000 0.5000
Ir: 0.8421 0.0000 0.5000
Ir: 0.0000 0.3421 0.5000
Ir: 0.0000 0.6579 0.5000
Ir: 0.5000 0.0000 0.6579
Ir: 0.0000 0.5000 0.8421
K: 0.1514 0.1514 0.1514
K: 0.8486 0.8486 0.1514
K: 0.7500 0.2500 0.2500
K: 0.2500 0.7500 0.2500
K: 0.3486 0.3486 0.3486
K: 0.6514 0.6514 0.3486
K: 0.6514 0.3486 0.6514
K: 0.3486 0.6514 0.6514
K: 0.2500 0.2500 0.7500
K: 0.7500 0.7500 0.7500
K: 0.8486 0.1514 0.8486
K: 0.1514 0.8486 0.8486
O: 0.3582 0.0000 0.0000
O: 0.6418 0.0000 0.0000
O: 0.0000 0.3582 0.0000
O: 0.0000 0.6418 0.0000
O: 0.3451 0.2946 0.0037
O: 0.6549 0.7054 0.0037
O: 0.5000 0.5000 0.1418
O: 0.2054 0.4963 0.1549
O: 0.7946 0.5037 0.1549
O: 0.4963 0.1549 0.2054
O: 0.5037 0.8451 0.2054
O: 0.0037 0.3451 0.2946
O: 0.9963 0.6549 0.2946
O: 0.2946 0.0037 0.3451
O: 0.7054 0.9963 0.3451
O: 0.0000 0.0000 0.3582
O: 0.1549 0.2054 0.4963
O: 0.8451 0.7946 0.4963
O: 0.5000 0.1418 0.5000
O: 0.1418 0.5000 0.5000
O: 0.8582 0.5000 0.5000
O: 0.5000 0.8582 0.5000
O: 0.8451 0.2054 0.5037
O: 0.1549 0.7946 0.5037
O: 0.0000 0.0000 0.6418
O: 0.7054 0.0037 0.6549
O: 0.2946 0.9963 0.6549
O: 0.9963 0.3451 0.7054
O: 0.0037 0.6549 0.7054
O: 0.5037 0.1549 0.7946
O: 0.4963 0.8451 0.7946
O: 0.7946 0.4963 0.8451
O: 0.2054 0.5037 0.8451
O: 0.5000 0.5000 0.8582
O: 0.6549 0.2946 0.9963
O: 0.3451 0.7054 0.9963

[13]
The following is a GGA-PBE calculation of a relaxed structure of K2IrPbO6, from OQMD via LeMat-Bulk.

The density is 6.86 g/cm3. The calculation puts the total energy at -5.40 eV/atom. As for the space-group type: R-3 (148).

Unit cell a=5.7544 b=5.7544 c=5.7544 alpha=61.38 beta=61.38 gamma=61.38
Last column: magnetic moment on the atom in μB.
Positions (direct):
Ir: 0.0001 0.0001 0.0001  1.08
K: 0.2497 0.2497 0.2497  0.01
K: 0.7507 0.7507 0.7507  0.01
O: 0.2907 0.7764 0.1721  0.15
O: 0.8283 0.7098 0.2241  0.12
O: 0.7764 0.1721 0.2907  0.14
O: 0.2241 0.8283 0.7098  0.14
O: 0.1721 0.2907 0.7764  0.12
O: 0.7098 0.2241 0.8283  0.15
Pb: 0.5002 0.5002 0.5002  0.00

[14]
The following is a GGA-PBE calculation of a relaxed structure of KRbIr2O4, from OQMD via LeMat-Bulk.

The density is 5.80 g/cm3. The calculation puts the total energy at -5.82 eV/atom. As for the space-group type: Amm2 (38).

Unit cell a=6.1104 b=6.2048 c=6.2048 alpha=44.17 beta=90.00 gamma=90.00
Last column: magnetic moment on the atom in μB.
Positions (direct):
Ir: 0.0000 0.4964 0.4964  0.45
Ir: 0.5000 0.5037 0.5037  0.17
K: 0.0000 0.1959 0.1959  0.00
O: 0.2543 0.3933 0.3933  0.06
O: 0.7457 0.3933 0.3933  0.06
O: 0.2426 0.6063 0.6063  0.06
O: 0.7574 0.6063 0.6063  0.06
Rb: 0.5000 0.8048 0.8048  0.00

[15]
The following is a GGA-PBE calculation of a relaxed structure of KIrSO, from OQMD via LeMat-Bulk.

The density is 5.63 g/cm3. The calculation puts the total energy at -5.45 eV/atom. As for the space-group type: Pca2_1 (29).

Unit cell a=6.5208 b=8.7119 c=5.8051 alpha=90.00 beta=90.00 gamma=90.00
Positions (direct):
Ir: 0.9145 0.3596 0.0131
Ir: 0.4145 0.6404 0.0131
Ir: 0.5855 0.3596 0.5131
Ir: 0.0855 0.6404 0.5131
K: 0.4208 0.1333 0.0276
K: 0.9208 0.8667 0.0276
K: 0.0792 0.1333 0.5276
K: 0.5792 0.8667 0.5276
O: 0.0124 0.1563 0.0602
O: 0.5124 0.8437 0.0602
O: 0.4876 0.1563 0.5602
O: 0.9876 0.8437 0.5602
S: 0.6085 0.4460 0.1491
S: 0.1085 0.5540 0.1491
S: 0.8915 0.4460 0.6491
S: 0.3915 0.5540 0.6491

[16]
The following is a GGA-PBE calculation of a relaxed structure of KIrSO, from OQMD via LeMat-Bulk.

The density is 5.61 g/cm3. The calculation puts the total energy at -5.16 eV/atom. As for the space-group type: P2_1 (4).

Unit cell a=4.9131 b=5.0397 c=13.3625 alpha=90.01 beta=91.80 gamma=90.01
Positions (direct):
Ir: 0.9714 0.8962 0.0947
Ir: 0.5446 0.2084 0.0950
Ir: 0.4554 0.7084 0.9050
Ir: 0.0285 0.3961 0.9053
K: 0.2806 0.5473 0.3304
K: 0.7788 0.0397 0.3391
K: 0.2212 0.5396 0.6609
K: 0.7195 0.0471 0.6695
O: 0.3597 0.8314 0.0424
O: 0.1481 0.2746 0.0430
O: 0.8518 0.7747 0.9570
O: 0.6402 0.3313 0.9576
S: 0.7650 0.5525 0.1736
S: 0.2689 0.0501 0.2253
S: 0.7311 0.5500 0.7747
S: 0.2351 0.0524 0.8264

[17]
The following is a GGA-PBE calculation of a relaxed structure of KIrSO, from OQMD via LeMat-Bulk.

The density is 7.31 g/cm3. The calculation puts the total energy at -4.35 eV/atom. As for the space-group type: P4/nmm (129).

Unit cell a=3.8157 b=3.8157 c=8.7126 alpha=90.00 beta=90.00 gamma=90.00
Positions (direct):
Ir: 0.2500 0.2500 0.1275
Ir: 0.7500 0.7500 0.8725
K: 0.7500 0.2500 0.5000
K: 0.2500 0.7500 0.5000
O: 0.7500 0.2500 0.0000
O: 0.2500 0.7500 0.0000
S: 0.7500 0.7500 0.2407
S: 0.2500 0.2500 0.7593

[18]
The following is a GGA-PBE calculation of a relaxed structure of KIrSO, from OQMD via LeMat-Bulk.

The density is 5.24 g/cm3. The calculation puts the total energy at -5.35 eV/atom. As for the space-group type: Pmc2_1 (26).

Unit cell a=4.0737 b=6.7506 c=6.4438 alpha=90.00 beta=90.00 gamma=90.00
Positions (direct):
Ir: 0.5000 0.9313 0.0295
Ir: 0.5000 0.0687 0.5295
K: 0.0000 0.3383 0.1036
K: 0.0000 0.6617 0.6036
O: 0.5000 0.1488 0.2391
O: 0.5000 0.8512 0.7391
S: 0.0000 0.8072 0.1188
S: 0.0000 0.1928 0.6188

[19]
The following is a GGA-PBE calculation of a relaxed structure of KIrSO, from OQMD via LeMat-Bulk.

The density is 6.73 g/cm3. The calculation puts the total energy at -5.46 eV/atom. As for the space-group type: P-1 (2).

Unit cell a=6.9099 b=6.8390 c=6.1354 alpha=89.83 beta=108.05 gamma=89.30
Positions (direct):
Ir: 0.5166 0.6220 0.2466
Ir: 0.4833 0.1224 0.2533
Ir: 0.5167 0.8776 0.7467
Ir: 0.4834 0.3780 0.7534
K: 0.0785 0.7724 0.0012
K: 0.9187 0.2708 0.4964
K: 0.0813 0.7292 0.5036
K: 0.9215 0.2277 0.9987
O: 0.6250 0.3653 0.1296
O: 0.3740 0.8686 0.3698
O: 0.6260 0.1314 0.6302
O: 0.3750 0.6347 0.8704
S: 0.6884 0.8850 0.1415
S: 0.3117 0.3887 0.3585
S: 0.6883 0.6113 0.6415
S: 0.3116 0.1150 0.8585